Computed, not measured: RbNbSbI2 at its PBEsol-relaxed geometry at the SCAN level of DFT.

SG: P4/mmm
Uncorrected energy in eV/atom: -31.73

Lattice parameters (Å, degrees): 6.028 6.216 6.216 90.00 90.00 90.00
Each line ends with the local moment (μB).
Fractional positions:
Nb 0.500 0.500 0.500  2.83
Sb 0.500 0.000 0.000  -0.66
Rb 0.000 0.000 0.000  -0.02
I 0.000 0.500 0.000  -0.11
I 0.000 0.000 0.500  -0.11